1.
The following is a PBE with a Hubbard U calculation of crystalline Dy4Mo6O19 at its relaxed geometry, from Alexandria via LeMat-Bulk.

a = 9.0652 Å, b = 9.0652 Å, c = 9.0652 Å
α = 90.00°, β = 90.00°, γ = 90.00°
Space group I23 (No. 197)
Symmetry-distinct sites (fractional):
Dy (0.1449, 0.1449, 0.8551)
Mo (0.0000, 0.3586, 0.5000)
O (0.0000, 0.0000, 0.0000)
O (0.0000, 0.0000, 0.3189)
O (0.0438, 0.3327, 0.7134)

2.
The following is a PBE with a Hubbard U calculation of crystalline Dy6MoO12 at its relaxed geometry, from Alexandria via LeMat-Bulk.

a = 9.8302 Å, b = 9.8302 Å, c = 9.3983 Å
α = 90.00°, β = 90.00°, γ = 120.00°
Space group R-3 (No. 148, hexagonal axes)
Symmetry-distinct sites (fractional):
Dy (0.0416, 0.2546, 0.1428)
Mo (0.0000, 0.0000, 0.5000)
O (0.0325, 0.2228, 0.9002)
O (0.0364, 0.1838, 0.3872)

3.
The following is a PBE with a Hubbard U calculation of crystalline Dy2Mo3O12 at its relaxed geometry, from Alexandria via LeMat-Bulk.

a = 7.4525 Å, b = 7.4525 Å, c = 10.7097 Å
α = 90.00°, β = 90.00°, γ = 90.00°
Space group P-42_1m (No. 113)
Symmetry-distinct sites (fractional):
Dy (0.1869, 0.3131, 0.2625)
Mo (0.0000, 0.0000, 0.0000)
Mo (0.2069, 0.2931, 0.6442)
O (0.0061, 0.7747, 0.7035)
O (0.0455, 0.1901, 0.0974)
O (0.1258, 0.6258, 0.3079)
O (0.1952, 0.3048, 0.4782)

Output
As for the energy above the lowest structure with this stoichiometry: 0 meV/atom.

4.
The following is a PBE with a Hubbard U calculation of crystalline Dy2MoO5 at its relaxed geometry, from Alexandria via LeMat-Bulk.

a = 9.6537 Å, b = 6.5747 Å, c = 5.9106 Å
α = 90.00°, β = 90.00°, γ = 90.00°
Space group Pnma (No. 62)
Symmetry-distinct sites (fractional):
Dy (0.1738, 0.0008, 0.0263)
Mo (0.9997, 0.2500, 0.5545)
O (0.0034, 0.2500, 0.9341)
O (0.0921, 0.5296, 0.6566)
O (0.1838, 0.2500, 0.3371)
O (0.2086, 0.7500, 0.3167)

5.
The following is a PBE with a Hubbard U calculation of crystalline DyMoO5 at its relaxed geometry, from Alexandria via LeMat-Bulk.

a = 9.0520 Å, b = 6.4442 Å, c = 7.6566 Å
α = 90.00°, β = 114.76°, γ = 90.00°
Space group C2/c (No. 15)
Symmetry-distinct sites (fractional):
Dy (0.0000, 0.0532, 0.2500)
Mo (0.0000, 0.5000, 0.0000)
O (0.0000, 0.4213, 0.2500)
O (0.0093, 0.2066, 0.9609)
O (0.2289, 0.4828, 0.6161)

Output
As for the energy above the lowest structure with this stoichiometry: 167 meV/atom.

6.
The following is a PBE with a Hubbard U calculation of crystalline Dy2Mo3O12 at its relaxed geometry, from Alexandria via LeMat-Bulk.

a = 7.6898 Å, b = 11.5231 Å, c = 11.3985 Å
α = 90.00°, β = 109.52°, γ = 90.00°
Space group C2/c (No. 15)
Symmetry-distinct sites (fractional):
Dy (0.1664, 0.1221, 0.0910)
Mo (0.0000, 0.1305, 0.7500)
Mo (0.1462, 0.3923, 0.5512)
O (0.0512, 0.2823, 0.4411)
O (0.0651, 0.4609, 0.9242)
O (0.1308, 0.2081, 0.8927)
O (0.1324, 0.0501, 0.4609)
O (0.1672, 0.0412, 0.7185)
O (0.2264, 0.3228, 0.7017)

Output
As for the energy above the lowest structure with this stoichiometry: 21 meV/atom.

7.
The following is a PBE with a Hubbard U calculation of crystalline Dy2Mo3O12 at its relaxed geometry, from Alexandria via LeMat-Bulk.

a = 10.4957 Å, b = 10.5123 Å, c = 10.7226 Å
α = 90.00°, β = 90.00°, γ = 90.00°
Space group Pba2 (No. 32)
Symmetry-distinct sites (fractional):
Dy (0.0044, 0.1873, 0.0000)
Dy (0.1875, 0.5024, 0.5259)
Mo (0.0015, 0.7935, 0.6194)
Mo (0.2060, 0.5083, 0.9069)
Mo (0.2442, 0.7545, 0.2632)
O (0.0043, 0.3738, 0.5706)
O (0.0158, 0.1954, 0.7844)
O (0.1201, 0.3770, 0.9703)
O (0.1232, 0.8258, 0.1685)
O (0.1263, 0.1218, 0.5477)
O (0.1265, 0.9964, 0.9547)
O (0.1401, 0.1822, 0.1627)
O (0.1475, 0.6577, 0.9612)
O (0.1535, 0.8538, 0.5745)
O (0.1735, 0.6375, 0.3629)
O (0.1829, 0.3737, 0.3589)
O (0.1943, 0.5078, 0.7412)

Output
As for the energy above the lowest structure with this stoichiometry: 0 meV/atom.

8.
The following is a PBE with a Hubbard U calculation of crystalline DyMo2O8 at its relaxed geometry, from Alexandria via LeMat-Bulk.

a = 5.5841 Å, b = 5.7509 Å, c = 5.7776 Å
α = 109.80°, β = 109.80°, γ = 90.42°
Space group P1 (No. 1)
Symmetry-distinct sites (fractional):
Dy (0.0000, 0.0000, 0.0000)
Mo (0.3176, 0.6260, 0.4854)
Mo (0.7183, 0.2436, 0.4223)
O (0.2017, 0.7770, 0.2545)
O (0.2168, 0.7855, 0.7509)
O (0.3697, 0.3049, 0.1829)
O (0.4214, 0.2936, 0.5540)
O (0.6643, 0.7271, 0.6342)
O (0.7039, 0.9404, 0.2009)
O (0.9075, 0.2346, 0.7365)
O (0.9440, 0.3825, 0.3142)

9.
The following is a PBE with a Hubbard U calculation of crystalline Dy2Mo2O7 at its relaxed geometry, from Alexandria via LeMat-Bulk.

a = 10.4043 Å, b = 10.4043 Å, c = 10.4043 Å
α = 90.00°, β = 90.00°, γ = 90.00°
Space group Fd-3m (No. 227, origin choice 2)
Symmetry-distinct sites (fractional):
Dy (0.0000, 0.0000, 0.0000)
Mo (0.0000, 0.0000, 0.5000)
O (0.0888, 0.3750, 0.8750)
O (0.1250, 0.1250, 0.1250)

10.
The following is a PBE with a Hubbard U calculation of crystalline DyMoO5 at its relaxed geometry, from Alexandria via LeMat-Bulk.

a = 5.3660 Å, b = 12.5720 Å, c = 6.9346 Å
α = 90.00°, β = 117.33°, γ = 90.00°
Space group P2_1/c (No. 14)
Symmetry-distinct sites (fractional):
Dy (0.1561, 0.0585, 0.2832)
Mo (0.4084, 0.1356, 0.8501)
O (0.0388, 0.5562, 0.9845)
O (0.2009, 0.0590, 0.9578)
O (0.2704, 0.2350, 0.2657)
O (0.2696, 0.6566, 0.4173)
O (0.4850, 0.5760, 0.8446)

Output
As for the energy above the lowest structure with this stoichiometry: 0 meV/atom.

11.
The following is a PBE with a Hubbard U calculation of crystalline Dy2Mo4O15 at its relaxed geometry, from Alexandria via LeMat-Bulk.

a = 6.9177 Å, b = 9.7220 Å, c = 10.7991 Å
α = 90.00°, β = 104.96°, γ = 90.00°
Space group P2_1/c (No. 14)
Symmetry-distinct sites (fractional):
Dy (0.2068, 0.0234, 0.2751)
Mo (0.0803, 0.7434, 0.0096)
Mo (0.3837, 0.0943, 0.8436)
O (0.0282, 0.1272, 0.4000)
O (0.1152, 0.1640, 0.0999)
O (0.1264, 0.0517, 0.8144)
O (0.2184, 0.6510, 0.9174)
O (0.2428, 0.6362, 0.6173)
O (0.3850, 0.2234, 0.3482)
O (0.4559, 0.0269, 0.7092)
O (0.5000, 0.0000, 0.0000)

12.
The following is a PBE with a Hubbard U calculation of crystalline Dy2PaMoO8 at its relaxed geometry, from Alexandria via LeMat-Bulk.

a = 7.0247 Å, b = 7.2068 Å, c = 6.8498 Å
α = 90.00°, β = 90.00°, γ = 90.00°
Space group Cmmm (No. 65)
Symmetry-distinct sites (fractional):
Dy (0.0000, 0.0000, 0.2444)
Pa (0.0000, 0.5000, 0.5000)
Mo (0.0000, 0.5000, 0.0000)
O (0.0000, 0.3165, 0.2355)
O (0.1981, 0.0000, 0.5000)
O (0.2260, 0.0000, 0.0000)

| no. | calculated total energy (eV per formula unit) | mass density (g/cm³) | V (Å³/f.u.) |
| --- | --- | --- | --- |
| 1 | -219.45 | 6.82 | 372.48 |
| 2 | -155.43 | 8.00 | 262.17 |
| 3 | -128.45 | 4.49 | 297.41 |
| 4 | -64.11 | 8.87 | 93.79 |
| 5 | -50.89 | 5.54 | 101.39 |
| 6 | -128.09 | 5.62 | 237.99 |
| 7 | -128.45 | 4.52 | 295.77 |
| 8 | -79.08 | 4.92 | 162.68 |
| 9 | -86.37 | 7.42 | 140.78 |
| 10 | -52.05 | 5.41 | 103.90 |
| 11 | -156.66 | 4.49 | 350.83 |
| 12 | -101.91 | 7.47 | 173.39 |